1.
! Ce3As, relaxed, DFT GGA-PBE; values from VASP
! * E above lowest polymorph: 0.000 eV/atom
! * symmetry: No. 221
! * formation energy: -609 meV/atom
&SYSTEM
  ibrav = 0, nat = 4, ntyp = 2
/
ATOMIC_SPECIES
Ce 140.12 Ce.upf
As 74.92 As.upf
CELL_PARAMETERS angstrom
4.5705 0.0000 0.0000
0.0000 4.5705 0.0000
0.0000 0.0000 4.5705
ATOMIC_POSITIONS angstrom
Ce 0.0000 0.0000 2.2852
Ce 0.0000 2.2852 0.0000
Ce 2.2852 0.0000 0.0000
As 2.2852 2.2852 2.2852



2.
! Sm2HgBr, relaxed, DFT GGA-PBE; values from VASP
! * E above lowest polymorph: 0.064 eV/atom
! * symmetry: No. 123
! * energy relative to the elements, uncorrected: -0.693 eV/atom
&SYSTEM
  ibrav = 0, nat = 4, ntyp = 3
/
ATOMIC_SPECIES
Sm 150.36 Sm.upf
Hg 200.59 Hg.upf
Br 79.90 Br.upf
CELL_PARAMETERS angstrom
3.5491 0.0000 0.0000
0.0000 3.5491 0.0000
0.0000 0.0000 8.4805
ATOMIC_POSITIONS angstrom
Sm 0.0000 0.0000 2.0421
Sm 0.0000 0.0000 6.4383
Hg 1.7746 1.7746 0.0000
Br 1.7746 1.7746 4.2402



3.
! K3Pa4O12, relaxed, DFT GGA-PBE; values from VASP
! * symmetry: No. 204
! * energy relative to the elements, uncorrected: -3.101 eV/atom
&SYSTEM
  ibrav = 0, nat = 19, ntyp = 3
/
ATOMIC_SPECIES
K 39.10 K.upf
Pa 231.04 Pa.upf
O 16.00 O.upf
CELL_PARAMETERS angstrom
-4.3525 4.3525 4.3525
4.3525 -4.3525 4.3525
4.3525 4.3525 -4.3525
ATOMIC_POSITIONS angstrom
K 4.3525 0.0000 0.0000
K 0.0000 4.3525 0.0000
K 0.0000 0.0000 4.3525
Pa 2.1762 2.1762 -2.1762
Pa 2.1762 -2.1762 2.1762
Pa -2.1762 2.1762 2.1762
Pa 2.1762 2.1762 2.1762
O 4.3525 -2.1046 2.1538
O 2.2479 2.1987 0.0000
O 6.4570 2.1987 0.0000
O 2.1538 4.3525 -2.1046
O 2.1987 0.0000 2.2479
O 4.3525 2.1046 2.1538
O 0.0000 2.2479 2.1987
O 2.1538 4.3525 2.1046
O 2.1987 0.0000 6.4570
O -2.1046 2.1538 4.3525
O 2.1046 2.1538 4.3525
O 0.0000 6.4570 2.1987



4.
! AcBiBr, relaxed, DFT GGA-PBE; values from VASP
! * E above lowest polymorph: 0.009 eV/atom
! * symmetry: No. 2
! * energy relative to the elements, uncorrected: -1.164 eV/atom
&SYSTEM
  ibrav = 0, nat = 6, ntyp = 3
/
ATOMIC_SPECIES
Ac 227.00 Ac.upf
Bi 208.98 Bi.upf
Br 79.90 Br.upf
CELL_PARAMETERS angstrom
5.0692 0.0000 0.0000
0.0407 5.4637 0.0000
0.0172 2.3852 8.8245
ATOMIC_POSITIONS angstrom
Ac 1.2776 1.4365 2.1713
Ac 3.8495 6.4123 6.6532
Bi 1.2964 4.1623 0.1180
Bi 3.8308 3.6866 8.7065
Br 1.3111 5.2891 4.9598
Br 3.8160 2.5598 3.8647



5.
! MgFeOs, relaxed, DFT GGA-PBE; values from VASP
! * E above lowest polymorph: 0.000 eV/atom
! * symmetry: No. 74
! * formation energy: 135 meV/atom
&SYSTEM
  ibrav = 0, nat = 12, ntyp = 3
/
ATOMIC_SPECIES
Mg 24.30 Mg.upf
Fe 55.84 Fe.upf
Os 190.23 Os.upf
CELL_PARAMETERS angstrom
4.9238 0.0000 0.0000
0.0000 5.0767 0.0000
0.0000 0.0000 7.2896
ATOMIC_POSITIONS angstrom
Mg 0.0000 1.2692 0.9366
Mg 0.0000 3.8075 6.3530
Mg 2.4619 1.2692 2.7082
Mg 2.4619 3.8075 4.5814
Fe 1.2310 1.2692 5.4672
Fe 1.2310 3.8075 1.8224
Fe 3.6929 1.2692 5.4672
Fe 3.6929 3.8075 1.8224
Os 0.0000 0.0000 3.6448
Os 0.0000 2.5383 3.6448
Os 2.4619 0.0000 0.0000
Os 2.4619 2.5383 0.0000



6.
! LiRePt, relaxed, DFT GGA-PBE; values from VASP
! * E above lowest polymorph: 0.384 eV/atom
! * symmetry: No. 187
! * formation energy: 131 meV/atom
&SYSTEM
  ibrav = 0, nat = 3, ntyp = 3
/
ATOMIC_SPECIES
Li 6.94 Li.upf
Re 186.21 Re.upf
Pt 195.08 Pt.upf
CELL_PARAMETERS angstrom
4.4704 0.0000 0.0000
-2.2352 3.8715 0.0000
0.0000 0.0000 2.6110
ATOMIC_POSITIONS angstrom
Li 0.0000 0.0000 0.0000
Re 0.0000 2.5810 1.3055
Pt 2.2352 1.2905 1.3055



7.
! KAgSnCl6, relaxed, DFT GGA-PBE; values from VASP
! * symmetry: No. 163
! * energy relative to the elements, uncorrected: -1.083 eV/atom
&SYSTEM
  ibrav = 0, nat = 18, ntyp = 4
/
ATOMIC_SPECIES
K 39.10 K.upf
Ag 107.87 Ag.upf
Sn 118.71 Sn.upf
Cl 35.45 Cl.upf
CELL_PARAMETERS angstrom
6.9385 0.0000 0.0000
-3.4693 6.0089 0.0000
0.0000 0.0000 13.4468
ATOMIC_POSITIONS angstrom
K 0.0000 0.0000 0.0000
K 0.0000 0.0000 6.7234
Ag 0.0000 4.0059 3.3617
Ag 3.4693 2.0030 10.0851
Sn 0.0000 4.0059 10.0851
Sn 3.4693 2.0030 3.3617
Cl -1.1067 2.3146 8.6448
Cl -2.0181 3.8932 11.5254
Cl 1.1067 2.3146 11.5254
Cl -0.9114 5.8101 8.6448
Cl 2.5578 0.1989 1.9214
Cl 1.4511 2.1157 4.8020
Cl 2.0181 3.8932 8.6448
Cl 0.9114 5.8101 11.5254
Cl 4.3807 0.1989 4.8020
Cl 2.3626 3.6943 1.9214
Cl 5.4874 2.1157 1.9214
Cl 4.5759 3.6943 4.8020



8.
! Ba3NdIr2O9, relaxed, DFT GGA-PBE; values from VASP
! * symmetry: No. 15
! * energy relative to the elements, uncorrected: -2.056 eV/atom
&SYSTEM
  ibrav = 0, nat = 30, ntyp = 4
/
ATOMIC_SPECIES
Ba 137.33 Ba.upf
Nd 144.24 Nd.upf
Ir 192.22 Ir.upf
O 16.00 O.upf
CELL_PARAMETERS angstrom
3.0129 -5.1990 0.0000
3.0129 5.1990 0.0000
-0.4397 0.0000 14.9680
ATOMIC_POSITIONS angstrom
Ba 2.6831 5.1606 11.2260
Ba 2.7969 1.7293 6.0507
Ba 3.0090 1.7293 1.4333
Ba 2.5771 -1.7293 13.5347
Ba 2.7891 -1.7293 8.9173
Ba 2.9029 -5.1606 3.7420
Nd 0.0000 0.0000 0.0000
Nd -0.2198 0.0000 7.4840
Ir 2.5661 1.7242 12.4827
Ir 2.8001 1.7242 9.9693
Ir 2.7859 -1.7242 4.9987
Ir 3.0200 -1.7242 2.4853
O 1.2670 2.5177 11.0900
O 2.4569 3.3552 13.5948
O 1.0593 0.9353 13.4908
O 2.9094 3.3552 8.8572
O 1.5306 0.9464 8.6710
O 1.2792 -0.9353 6.0068
O 1.7504 -0.9464 1.1870
O 2.6831 0.0857 11.2260
O 4.0992 2.5177 11.3620
O 1.4868 -2.5177 3.6060
O 2.9029 -0.0857 3.7420
O 3.8356 0.9464 13.7810
O 4.3069 0.9353 8.9612
O 4.0554 -0.9464 6.2970
O 2.6767 -3.3552 6.1108
O 4.5267 -0.9353 1.4772
O 3.1292 -3.3552 1.3732
O 4.3191 -2.5177 3.8780



Let's list total DFT energy (no corrections) in order: -6.2215, -3.5463, -8.4046, -4.3847, -6.9608, -6.6703, -3.1973, -6.9147 eV/atom.